First-principles (GGA-PBE) data for a geometry-optimized Ca2ZnAuN structure, as listed in Alexandria.

Cell: 7.4556 3.6307 7.9548 Å, 90.00 112.72 90.00°
Last column: nearest neighbours and their distance in Å.
Fractional coordinates of all 10 atoms:
1 Ca 0.1276 0.2500 0.3736  2 N 2.42
2 Ca 0.1964 0.2500 0.9938  3 N 2.46
3 Ca 0.8036 0.7500 0.0062  3 N 2.46
4 Ca 0.8724 0.7500 0.6264  2 N 2.42
5 Zn 0.4387 0.7500 0.3495  1 N 2.00
6 Zn 0.5613 0.2500 0.6505  1 N 2.00
7 Au 0.3239 0.7500 0.7129  2 Zn 2.71
8 Au 0.6761 0.2500 0.2871  2 Zn 2.71
9 N 0.1564 0.7500 0.1850  1 Zn 2.00
10 N 0.8436 0.2500 0.8150  1 Zn 2.00

Energy relative to the elements, uncorrected in eV/atom: -0.66
Density in g/cm3: 6.0
Volume in Å³/atom: 19.86
Energy relative to the lowest polymorph listed for this composition in eV/atom: 0.000